DFT (PBE) results for a geometry-optimized ZrTc4B2 structure.

```
ZrTc4B2
1.0
3.7201 0.0000 0.0000
0.0000 3.7603 0.0000
0.0000 -1.8801 6.6523
Zr Tc B
1 4 2
Direct
0.0000 0.0000 0.0000
0.5000 0.8274 0.6548
0.0000 0.6785 0.3569
0.5000 0.1726 0.3452
0.0000 0.3215 0.6431
0.5000 0.5680 0.1359
0.5000 0.4320 0.8641
```

As for the space-group type: Cmmm, No. 65. For the total DFT energy (no corrections), the calculation gives -64.83 eV per formula unit. As for the formation energy: -209 meV per atom. Its calculated volume is 93.1 Å³/f.u.